# 1
The following is a PBE calculation of a geometry-optimized Cs2TlI2Br2 structure, from Alexandria via LeMat-Bulk.

Raw formation energy: -798.9 kJ/mol of formula units

Lattice parameters (Å, degrees): 5.8774 5.8774 19.4636 90.00 90.00 90.00
With the nearest neighbours (Å) after each atom.
Space group I4/mmm (No. 139)
Asymmetric unit:
Cs  0.0000  0.0000  0.1338  5 I 3.92-4.20, 4 Br 3.93
Tl  0.0000  0.0000  0.5000  4 Br 2.94, 2 I 3.21
I  0.0000  0.0000  0.3352  1 Tl 3.21
Br  0.0000  0.5000  0.0000  2 Tl 2.94

---

# 2
The following is a PBE calculation of a geometry-optimized Tb8PrSm2 structure, from Alexandria via LeMat-Bulk.

Formation enthalpy at 0 K: 1.23 eV/f.u.

Lattice parameters (Å, degrees): 5.5610 8.1879 16.0387 90.00 90.00 90.00
With the nearest neighbours (Å) after each atom.
Space group Immm (No. 71)
Asymmetric unit:
Tb  0.0000  0.0000  0.1617  8 Tb 3.54-3.69, 2 Sm 3.56, 2 Pr 3.80
Tb  0.0000  0.2062  0.3611  1 Pr 3.28, 4 Tb 3.38-3.62, 3 Sm 3.40-3.53
Tb  0.0000  0.2951  0.0000  7 Tb 3.36-3.56, 2 Sm 3.62, 2 Pr 3.68
Pr  0.0000  0.5000  0.5000  4 Tb 3.28
Sm  0.0000  0.5000  0.1999  10 Tb 3.40-3.62

---

# 3
The following is a PBE calculation of a geometry-optimized LaMg5Ge3 structure, from Alexandria via LeMat-Bulk.

Formation enthalpy at 0 K: -2.97 eV/f.u.

Lattice parameters (Å, degrees): 4.4885 14.9697 12.3918 90.00 90.00 90.00
With the nearest neighbours (Å) after each atom.
Space group Cmcm (No. 63)
Asymmetric unit:
La  0.0000  0.1236  0.2500  5 Ge 3.21-3.24
Mg  0.0000  0.0000  0.0000  6 Mg 2.92-3.04, 4 Ge 3.02
Mg  0.0000  0.1961  0.5624  4 Ge 2.70-2.95
Mg  0.0000  0.4462  0.1366  4 Ge 2.70-2.80, 3 Mg 2.81-2.92
Ge  0.0000  0.0928  0.7500  6 Mg 2.71-2.79
Ge  0.0000  0.3763  0.5644  7 Mg 2.70-3.02

---

# 4
The following is a PBE calculation of a geometry-optimized Tb2PrAu structure, from Alexandria via LeMat-Bulk.

Formation enthalpy at 0 K: -1.12 eV/f.u.

Lattice parameters (Å, degrees): 3.7533 3.7533 30.2792 90.00 90.00 120.00
With the nearest neighbours (Å) after each atom.
Space group R-3m (No. 166, hexagonal axes)
Asymmetric unit:
Tb  0.0000  0.0000  0.2344  3 Au 2.98
Pr  0.0000  0.0000  0.0000  6 Tb 3.70, 6 Pr 3.75
Au  0.0000  0.0000  0.5000  6 Tb 2.98

---

# 5
The following is a PBE calculation of a geometry-optimized Nd3Si5 structure, from Alexandria via LeMat-Bulk.

Raw formation energy: -521.8 kJ/mol of formula units

Lattice parameters (Å, degrees): 5.8295 17.4758 13.8972 90.00 90.00 90.00
With the nearest neighbours (Å) after each atom.
Space group Fdd2 (No. 43)
Asymmetric unit:
Nd  0.0000  0.0000  0.0000  10 Si 3.07-3.20
Nd  0.0067  0.1687  0.4965  10 Si 3.05-3.25
Si  0.0000  0.0000  0.5690  2 Si 2.41
Si  0.0081  0.3300  0.5854  2 Si 2.40-2.44
Si  0.0189  0.1641  0.9136  3 Si 2.40-2.44

---

# 6
The following is a PBE calculation of a geometry-optimized Hf2Ga4Pd structure, from Alexandria via LeMat-Bulk.

Formation enthalpy at 0 K: -2.60 eV/f.u.

Lattice parameters (Å, degrees): 5.6578 5.6578 8.1248 90.00 90.00 90.00
With the nearest neighbours (Å) after each atom.
Space group I4/mmm (No. 139)
Asymmetric unit:
Hf  0.0000  0.5000  0.0000  2 Pd 2.83, 8 Ga 2.85
Ga  0.2500  0.2500  0.2500  4 Ga 2.83, 4 Hf 2.85, 2 Pd 2.85
Pd  0.0000  0.0000  0.0000  4 Hf 2.83, 8 Ga 2.85

---

# 7
The following is a PBE calculation of a geometry-optimized Y2Ge4Pt3Rh structure, from Alexandria via LeMat-Bulk.

Formation enthalpy at 0 K: -9.02 eV/f.u.

Lattice parameters (Å, degrees): 4.1321 4.1321 10.8362 90.00 90.00 90.00
With the nearest neighbours (Å) after each atom.
Space group P-4m2 (No. 115)
Asymmetric unit:
Y  0.0000  0.5000  0.2424  8 Ge 3.15-3.47, 6 Pt 3.18-3.34, 2 Rh 3.34
Ge  0.0000  0.0000  0.5000  4 Pt 2.57
Ge  0.0000  0.5000  0.8660  3 Pt 2.44-2.53, 2 Rh 2.53
Ge  0.5000  0.5000  0.5000  4 Pt 2.57
Pt  0.0000  0.0000  0.0000  4 Ge 2.53
Pt  0.0000  0.5000  0.6412  5 Ge 2.44-2.57
Rh  0.5000  0.5000  0.0000  4 Ge 2.53

---

# 8
The following is a PBE calculation of a geometry-optimized MgPSe2 structure, from Alexandria via LeMat-Bulk.

Raw formation energy: 42.5 kJ/mol of formula units

Lattice parameters (Å, degrees): 6.7423 6.7423 6.7423 90.00 90.00 90.00
With the nearest neighbours (Å) after each atom.
Space group Fm-3m (No. 225)
Asymmetric unit:
Mg  0.0000  0.0000  0.0000  8 Se 2.92
P  0.0000  0.0000  0.5000  8 Se 2.92
Se  0.2500  0.2500  0.2500  4 Mg 2.92, 4 P 2.92

---

# 9
The following is a PBE calculation of a geometry-optimized CeTmU structure, from Alexandria via LeMat-Bulk.

Formation enthalpy at 0 K: 0.57 eV/f.u.

Lattice parameters (Å, degrees): 3.8116 16.2382 5.1269 90.00 90.00 90.00
With the nearest neighbours (Å) after each atom.
Space group Cmcm (No. 63)
Asymmetric unit:
Ce  0.0000  0.1344  0.2500  2 U 2.65
Tm  0.0000  0.4278  0.2500  4 Ce 3.35, 2 Tm 3.47, 2 U 3.49
U  0.0000  0.2520  0.7500  2 Ce 2.65

---

no.,volume (Å³/cell),DOS(E_F) (states/eV per atom)
1,672,0.3150
2,730,1.3634
3,833,0.2856
4,369,1.4037
5,1416,0.5341
6,260,0.3449
7,185,0.4121
8,306,0.7194
9,317,2.5801